Entry from the Alexandria database: a geometry-optimized NdTaNbOs2 structure (PBE).

```
5
Lattice="-2.994 -1.454 -2.900 -1.943 -2.357 3.187 -0.705 6.105 1.028" Properties=species:S:1:pos:R:3 pbc="T T T"
Nd 0.000 0.000 0.000
Ta -2.558 0.921 2.180
Nb -3.084 1.373 -0.864
Os -3.227 -0.902 0.424
Os -2.415 3.196 0.892
```

Output
The calculation puts the total magnetic moment at 0.00 μB per cell. The value obtained for the formation energy from the elements is -0.260 eV per atom. The space group is I-4m2.

***

Entry from the Alexandria database: a geometry-optimized NdNbP structure (PBE).

```
6
Lattice="3.987 0.000 0.000 0.000 3.987 0.000 0.000 0.000 7.933" Properties=species:S:1:pos:R:3 pbc="T T T"
P 1.993 0.000 5.753
P 0.000 1.993 2.179
Nd 1.993 0.000 1.147
Nd 0.000 1.993 6.786
Nb 1.993 1.993 3.966
Nb 0.000 0.000 3.966
```

Output
The calculation puts the total magnetic moment at 0.37 μB per cell. The value obtained for the formation energy from the elements is -0.926 eV per atom. The space group is P4/nmm.

***

Entry from the Alexandria database: a geometry-optimized NdNbP2 structure (PBE).

```
4
Lattice="3.824 0.000 0.000 1.912 3.311 0.000 1.912 1.104 6.366" Properties=species:S:1:pos:R:3 pbc="T T T"
P 1.912 1.104 1.363
P 5.735 3.311 5.003
Nb 0.000 0.000 0.000
Nd 3.824 2.208 3.183
```

Output
The calculation puts the total magnetic moment at 0.00 μB per cell. As for the energy above the most stable polymorph in this dataset: 0 meV per atom. The value obtained for the formation energy from the elements is -1.065 eV per atom. The space group is R-3m.

***

Entry from the Alexandria database: a geometry-optimized NdNbP2 structure (PBE).

```
4
Lattice="-1.794 3.222 0.421 -2.501 -1.677 2.171 5.681 0.533 3.784" Properties=species:S:1:pos:R:3 pbc="T T T"
Nd -1.305 -0.642 2.870
Nb 1.713 0.848 4.324
P -0.069 2.132 3.266
P 3.847 2.012 4.507
```

Output
The calculation puts the total magnetic moment at 0.17 μB per cell. As for the energy above the most stable polymorph in this dataset: 328 meV per atom. The value obtained for the formation energy from the elements is -0.738 eV per atom. The space group is I-4m2.

***

Entry from the Alexandria database: a geometry-optimized NdNbP2Rh5 structure (PBE).

```
9
Lattice="-0.545 -2.839 -2.835 -1.638 -2.454 2.773 -9.252 3.841 -2.067" Properties=species:S:1:pos:R:3 pbc="T T T"
Nd -5.718 -0.727 -1.065
Nb 0.000 0.000 0.000
P -6.651 2.761 -1.486
P -2.601 1.080 -0.581
Rh -4.626 1.920 -1.034
Rh -8.479 1.952 -0.325
Rh -1.865 -0.759 -1.773
Rh -2.412 -0.566 1.031
Rh -7.932 1.760 -3.129
```

Output
The calculation puts the total magnetic moment at 0.00 μB per cell. The value obtained for the formation energy from the elements is -0.421 eV per atom. The space group is P4/mmm.

***

Entry from the Alexandria database: a geometry-optimized NdNb2Pd9 structure (PBE).

```
12
Lattice="4.053 0.000 0.000 0.000 4.053 0.000 0.000 0.000 12.166" Properties=species:S:1:pos:R:3 pbc="T T T"
Nd 0.000 0.000 0.000
Nb 0.000 0.000 4.095
Nb 0.000 0.000 8.071
Pd 2.027 2.027 0.000
Pd 2.027 2.027 4.155
Pd 2.027 2.027 8.011
Pd 2.027 0.000 2.223
Pd 2.027 0.000 6.083
Pd 2.027 0.000 9.943
Pd 0.000 2.027 2.223
Pd 0.000 2.027 6.083
Pd 0.000 2.027 9.943
```

Output
The calculation puts the total magnetic moment at 1.30 μB per cell. The value obtained for the formation energy from the elements is -0.470 eV per atom. The space group is P4/mmm.

***

Entry from the Alexandria database: a geometry-optimized Pm2NdNb structure (PBE).

```
4
Lattice="-1.597 -2.788 0.980 1.269 -3.016 -0.757 6.109 -1.894 10.328" Properties=species:S:1:pos:R:3 pbc="T T T"
Nb 0.000 0.000 0.000
Nd 2.890 -3.849 5.275
Pm 4.604 -1.904 7.845
Pm 1.177 -5.794 2.705
```

Output
The calculation puts the total magnetic moment at 0.00 μB per cell. The value obtained for the formation energy from the elements is 0.594 eV per atom. The space group is R-3m.

***

Entry from the Alexandria database: a geometry-optimized Pr2NdNb structure (PBE).

```
4
Lattice="-3.267 -0.694 -0.511 -1.082 -0.860 -3.083 0.641 -12.229 1.333" Properties=species:S:1:pos:R:3 pbc="T T T"
Pr 0.138 -9.414 0.725
Pr -3.846 -4.368 -2.985
Nb 0.000 0.000 0.000
Nd -1.854 -6.891 -1.130
```

Output
The calculation puts the total magnetic moment at 0.03 μB per cell. The value obtained for the formation energy from the elements is 0.617 eV per atom. The space group is R-3m.

***

Entry from the Alexandria database: a geometry-optimized NdNbPt structure (PBE).

```
6
Lattice="-0.196 0.361 5.031 -0.320 -2.672 -2.353 10.339 -1.699 0.526" Properties=species:S:1:pos:R:3 pbc="T T T"
Pt -0.260 -0.787 2.578
Pt 5.007 -1.821 0.326
Nd 3.156 -1.351 2.752
Nd 6.662 -1.927 2.931
Nb 8.969 -2.468 0.527
Nb 1.046 -1.166 0.124
```

Output
The calculation puts the total magnetic moment at 0.00 μB per cell. The value obtained for the formation energy from the elements is -0.320 eV per atom. The space group is Cmmm.

***

Entry from the Alexandria database: a geometry-optimized Nd2NbSi4Pt3 structure (PBE).

```
10
Lattice="-2.968 -1.236 2.770 1.355 -4.008 -0.336 6.578 1.575 7.751" Properties=species:S:1:pos:R:3 pbc="T T T"
Nd 0.078 -0.244 3.226
Nd 5.693 -0.803 5.742
Nb 2.482 -1.834 5.093
Si -0.806 -2.622 1.217
Si 0.000 0.000 0.000
Si 2.747 0.395 6.371
Si 3.024 -1.442 2.597
Pt 3.289 0.787 3.875
Pt 4.321 0.772 8.226
Pt 1.450 -1.819 0.742
```

Output
As for the raw formation energy: -950.9 kJ/mol of formula units. The calculation puts the total magnetic moment at 0.00 μB per cell. The space group is P-4m2.

***

Entry from the Alexandria database: a geometry-optimized NdPu2Nb structure (PBE).

```
4
Lattice="5.014 0.000 0.000 2.507 4.342 0.000 2.507 1.447 4.627" Properties=species:S:1:pos:R:3 pbc="T T T"
Nb 0.000 0.000 0.000
Nd 5.014 2.895 2.314
Pu 2.507 1.447 0.919
Pu 7.521 4.342 3.709
```

Output
The calculation puts the total magnetic moment at 10.85 μB per cell. The value obtained for the formation energy from the elements is 0.447 eV per atom. The space group is R-3m.

***

Entry from the Alexandria database: a geometry-optimized Rb3Nd3NbSe8 structure (PBE).

```
15
Lattice="-7.743 -0.316 3.343 6.096 -5.014 2.991 0.620 9.239 2.311" Properties=species:S:1:pos:R:3 pbc="T T T"
Rb 0.000 0.000 0.000
Rb 3.048 -2.507 1.496
Rb -0.824 -2.665 3.167
Nd -3.561 4.461 2.827
Nd -0.513 1.954 4.323
Nd 3.358 2.113 2.651
Nb 0.310 4.620 1.156
Se 1.365 -0.007 3.161
Se -2.392 3.916 5.485
Se -2.409 -0.225 5.053
Se 1.382 4.134 3.592
Se -5.726 2.507 3.423
Se 4.699 1.402 5.223
Se -1.515 2.679 1.605
Se 0.488 1.229 7.041
```

Output
As for the raw formation energy: -2149.4 kJ/mol of formula units. The calculation puts the total magnetic moment at 1.01 μB per cell. The space group is C2/m.

***

Entry from the Alexandria database: a geometry-optimized NdNb2Ru3 structure (PBE).

```
6
Lattice="3.185 0.000 0.000 0.000 3.185 0.000 0.000 0.000 10.681" Properties=species:S:1:pos:R:3 pbc="T T T"
Nd 1.592 1.592 5.341
Nb 1.592 1.592 9.009
Nb 1.592 1.592 1.672
Ru 0.000 0.000 0.000
Ru 0.000 0.000 7.617
Ru 0.000 0.000 3.064
```

Output
The calculation puts the total magnetic moment at 0.00 μB per cell. The value obtained for the formation energy from the elements is -0.226 eV per atom. The space group is P4/mmm.

***

Entry from the Alexandria database: a geometry-optimized NdNbRu structure (PBE).

```
6
Lattice="-1.106 -3.782 -2.263 2.767 1.220 -3.392 5.044 -3.239 2.950" Properties=species:S:1:pos:R:3 pbc="T T T"
Ru 2.915 -4.119 0.897
Ru 2.959 -0.402 -0.774
Nd 0.154 -2.345 -0.718
Nd 5.720 -2.175 0.840
Nb 3.353 -2.901 -1.352
Nb 2.522 -1.620 1.475
```

Output
The calculation puts the total magnetic moment at 0.00 μB per cell. The value obtained for the formation energy from the elements is -0.178 eV per atom. The space group is P4/nmm.

***

Entry from the Alexandria database: a geometry-optimized NdNbSi2Ru structure (PBE).

```
5
Lattice="4.088 0.000 0.000 0.000 4.088 0.000 -2.044 -2.044 5.533" Properties=species:S:1:pos:R:3 pbc="T T T"
Nd 0.000 0.000 0.000
Nb 2.044 0.000 2.766
Si 2.044 2.044 1.239
Si 0.000 0.000 4.294
Ru 0.000 2.044 2.766
```

Output
As for the raw formation energy: -317.9 kJ/mol of formula units. The calculation puts the total magnetic moment at 0.00 μB per cell. The space group is I-4m2.

***

Entry from the Alexandria database: a geometry-optimized NdTaNbRu2 structure (PBE).

```
5
Lattice="-4.340 0.619 0.321 0.218 -0.718 4.332 2.871 5.300 -1.497" Properties=species:S:1:pos:R:3 pbc="T T T"
Nd 0.000 0.000 0.000
Ta 0.514 2.266 2.580
Nb -1.765 2.935 0.575
Ru -1.864 1.229 2.528
Ru 0.613 3.972 0.627
```

Output
The calculation puts the total magnetic moment at 0.00 μB per cell. The value obtained for the formation energy from the elements is -0.245 eV per atom. The space group is I-4m2.

***

Entry from the Alexandria database: a geometry-optimized NdNbS4 structure (PBE).

```
12
Lattice="-5.352 3.682 -0.918 -1.234 -3.182 -5.571 -2.746 -4.864 3.386" Properties=species:S:1:pos:R:3 pbc="T T T"
Nd 0.000 0.000 0.000
Nd -3.293 0.250 -3.245
Nb -4.049 -0.591 1.234
Nb -1.990 -4.023 -1.093
S -6.039 0.467 -3.813
S -5.689 -2.272 1.505
S -2.970 -1.723 -0.814
S -3.859 -4.930 -2.617
S -3.291 -4.830 0.709
S -3.641 -2.091 -4.608
S -6.361 -2.640 -2.289
S -5.472 0.567 -0.487
```

Output
As for the raw formation energy: -648.8 kJ/mol of formula units. The calculation puts the total magnetic moment at 0.00 μB per cell. The space group is P2_1/c.

***

Entry from the Alexandria database: a geometry-optimized Nd3NbTl3S8 structure (PBE).

```
15
Lattice="-3.718 -7.121 -0.615 8.050 0.345 0.114 -4.209 1.532 7.707" Properties=species:S:1:pos:R:3 pbc="T T T"
Nd -3.964 -2.794 3.546
Nd 0.061 -2.622 3.603
Nd 1.921 0.939 3.911
Nb -2.105 0.766 3.853
Tl 0.000 0.000 0.000
Tl 4.025 0.172 0.057
Tl 2.166 -3.388 -0.250
S 2.040 -1.250 2.149
S -1.917 -3.993 5.058
S 0.385 -4.927 1.950
S -0.262 -0.317 5.256
S -4.042 -5.117 1.888
S 4.165 -0.127 5.319
S -1.997 -1.201 2.226
S 2.120 -4.043 4.980
```

Output
As for the raw formation energy: -1882.4 kJ/mol of formula units. The calculation puts the total magnetic moment at 0.98 μB per cell. The space group is R-3m.

***

Entry from the Alexandria database: a geometry-optimized NdNbSb structure (PBE).

```
6
Lattice="4.605 0.000 0.000 -2.302 3.925 -0.638 0.000 -3.735 9.928" Properties=species:S:1:pos:R:3 pbc="T T T"
Nd 0.000 -2.659 8.296
Nd 2.302 2.849 0.993
Nb 0.000 -0.519 5.002
Nb 2.302 0.709 4.288
Sb 0.000 1.801 2.789
Sb 2.302 -1.611 6.501
```

Output
As for the raw formation energy: -60.0 kJ/mol of formula units. The calculation puts the total magnetic moment at 0.00 μB per cell. The space group is C2/m.

***

Entry from the Alexandria database: a geometry-optimized NdNbSb3 structure (PBE).

```
20
Lattice="6.131 0.000 0.000 0.000 6.458 0.000 0.000 0.000 13.309" Properties=species:S:1:pos:R:3 pbc="T T T"
Nd 4.599 3.204 9.126
Nd 1.533 3.254 4.183
Nd 4.599 6.433 4.183
Nd 1.533 0.025 9.126
Nb 3.066 1.615 1.257
Nb 0.000 4.844 12.052
Nb 3.066 4.844 12.052
Nb 0.000 1.615 1.257
Sb 0.000 1.615 6.632
Sb 3.066 4.844 6.678
Sb 0.000 4.844 6.678
Sb 3.066 1.615 6.632
Sb 1.533 0.752 12.311
Sb 4.599 5.706 0.998
Sb 1.533 3.981 0.998
Sb 4.599 2.477 12.311
Sb 1.533 3.197 10.287
Sb 4.599 3.261 3.023
Sb 1.533 6.426 3.023
Sb 4.599 0.032 10.287
```

Output
As for the raw formation energy: -285.9 kJ/mol of formula units. The calculation puts the total magnetic moment at 0.00 μB per cell. The space group is Pbcm.